VASP calculation (PBE) on a relaxed LiAl4Ir5 crystal.

Summary:
density	13.29	g cm⁻³
DOS at the Fermi energy	3.96	states/eV/cell
space-group type	P4/mmm
energy	-6.924	eV/atom
M_tot	0.000	μB per cell

Lattice parameters (Å, degrees): 2.998 2.998 14.952 90.00 90.00 90.00
Element x y z (fractional)
Li 0.000 0.000 0.000
Al 0.000 0.000 0.189
Al 0.000 0.000 0.397
Al 0.000 0.000 0.603
Al 0.000 0.000 0.811
Ir 0.500 0.500 0.095
Ir 0.500 0.500 0.298
Ir 0.500 0.500 0.500
Ir 0.500 0.500 0.702
Ir 0.500 0.500 0.905

---

VASP calculation (PBE) on a relaxed NaAcTlIn crystal.

Summary:
density	7.50	g cm⁻³
DOS at the Fermi energy	1.93	states/eV/cell
space-group type	F-43m
energy	-2.918	eV/atom
M_tot	0.000	μB per cell

Lattice parameters (Å, degrees): 5.629 5.629 5.629 60.00 60.00 60.00
Element x y z (fractional)
Na 0.750 0.750 0.750
Ac 0.250 0.250 0.250
Tl 0.000 0.000 0.000
In 0.500 0.500 0.500

---

VASP calculation (PBE) on a relaxed Zr3HN crystal.

Summary:
density	5.54	g cm⁻³
DOS at the Fermi energy	3.91	states/eV/cell
space-group type	Pm-3m
energy	-7.525	eV/atom
M_tot	0.000	μB per cell

Lattice parameters (Å, degrees): 4.423 4.423 4.423 90.00 90.00 90.00
Element x y z (fractional)
H 0.500 0.500 0.500
Zr 0.000 0.500 0.000
Zr 0.000 0.000 0.500
Zr 0.500 0.000 0.000
N 0.000 0.000 0.000

---

VASP calculation (PBE) on a relaxed EuSc2In crystal.

Summary:
density	5.70	g cm⁻³
DOS at the Fermi energy	4.05	states/eV/cell
space-group type	P4/mmm
energy	-6.583	eV/atom
M_tot	7.797	μB per cell

Lattice parameters (Å, degrees): 4.611 4.746 4.746 90.00 90.00 90.00
Site moments in Bohr magnetons follow the coordinates.
Element x y z (fractional)
Eu 0.500 0.500 0.500  6.85
Sc 0.000 0.000 0.500  0.23
Sc 0.000 0.500 0.000  0.23
In 0.500 0.000 0.000  -0.03